No. 1
A plane-wave DFT calculation with GGA-PBE was carried out for an optimized crystal structure of MnInSe4.

```
MnInSe4
1.0
0.0000 4.1235 4.1235
4.1235 0.0000 4.1235
4.1235 4.1235 0.0000
Se In Mn
4 1 1
Direct
0.3741 0.3741 0.3741
0.3741 0.8778 0.3741
0.3741 0.3741 0.8778
0.8778 0.3741 0.3741
0.7500 0.7500 0.7500
0.0000 0.0000 0.0000
```

Results
Energy above the most stable polymorph in this dataset = 829 meV/atom
Volume = 140.2 Å³/cell
Energy relative to the elements, uncorrected = 493 meV per atom
VASP energy = -3.814 eV/atom

No. 2
A plane-wave DFT calculation with GGA-PBE was carried out for an optimized crystal structure of MnInSe2.

```
MnInSe2
1.0
-0.1723 0.2440 3.7703
3.1588 -0.2656 2.0629
1.9030 7.3573 1.5169
In Se Mn
1 2 1
Direct
0.4998 0.4998 0.5001
0.0642 0.0642 0.8085
0.2690 0.2690 0.1929
0.6671 0.6671 0.9985
```

Results
Volume = 92.0 Å³/cell
Energy relative to the elements, uncorrected = -387 meV per atom
VASP energy = -5.106 eV/atom

No. 3
A plane-wave DFT calculation with GGA-PBE was carried out for an optimized crystal structure of MnInSe2.

```
MnInSe2
1.0
5.6516 -0.1496 0.0556
4.6419 3.2273 0.0556
2.6792 0.8011 5.7735
In Se Mn
1 2 1
Direct
0.4143 0.4143 0.6259
0.2845 0.2845 0.3326
0.1284 0.1284 0.9169
0.6728 0.6728 0.6245
```

Results
Volume = 108.8 Å³/cell
Energy relative to the elements, uncorrected = -251 meV per atom
VASP energy = -4.971 eV/atom

No. 4
A plane-wave DFT calculation with GGA-PBE was carried out for an optimized crystal structure of MnInSe3.

```
MnInSe3
1.0
6.6346 0.0000 0.0000
-3.3173 5.7457 0.0000
0.0000 0.0000 6.9218
Se Mn In
6 2 2
Direct
0.0000 0.6762 0.7472
0.0000 0.3238 0.2528
0.6762 0.0000 0.7472
0.3238 0.3238 0.7472
0.6762 0.6762 0.2528
0.3238 0.0000 0.2528
0.0000 0.0000 0.6404
0.0000 0.0000 0.3596
0.3333 0.6667 0.5000
0.6667 0.3333 0.5000
```

Results
Energy above the most stable polymorph in this dataset = 2 meV/atom
Volume = 263.9 Å³/cell
Energy relative to the elements, uncorrected = -294 meV per atom
VASP energy = -4.767 eV/atom

No. 5
A plane-wave DFT calculation with GGA-PBE was carried out for an optimized crystal structure of MnInSe2.

```
MnInSe2
1.0
4.0735 0.0000 1.2383
1.8485 3.6299 1.2383
-0.1341 -0.0822 7.7602
Mn Se In
1 2 1
Direct
0.1250 0.1250 0.6250
0.4914 0.4914 0.5259
0.0133 0.0133 0.9601
0.6203 0.6203 0.1390
```

Results
Volume = 115.6 Å³/cell
Energy relative to the elements, uncorrected = -346 meV per atom
VASP energy = -5.065 eV/atom

No. 6
A plane-wave DFT calculation with GGA-PBE was carried out for an optimized crystal structure of MnInSe3.

```
MnInSe3
1.0
-4.3298 0.3380 2.0393
1.9318 -1.0231 4.2710
0.7357 4.6754 0.7872
Mn Se In
1 3 1
Direct
0.0000 0.0000 0.0000
0.5000 0.0000 0.0000
0.0000 0.0000 0.5000
0.0000 0.5000 0.0000
0.5000 0.5000 0.5000
```

Results
Energy above the most stable polymorph in this dataset = 436 meV/atom
Volume = 110.4 Å³/cell
Energy relative to the elements, uncorrected = 140 meV per atom
VASP energy = -4.332 eV/atom